SiHgW2 | the Alexandria database | GGA-PBEsol | relaxed; DOS at the Fermi energy = 4.913 states/eV per cell; formation energy without anion corrections = 0.6168 eV/atom; space group = C2/m; raw total energy = -7.8654 eV/atom; E above lowest polymorph = 205 meV/atom
1.0
5.567 0.000 0.000
0.000 8.788 0.000
-0.939 0.000 2.628
Si Hg W
2 2 4
direct
0.000 0.000 0.000
0.500 0.500 0.000
0.000 0.500 0.000
0.500 0.000 0.000
0.250 0.250 0.500
0.250 0.750 0.500
0.750 0.250 0.500
0.750 0.750 0.500